Here is a geometry-optimized Pm2ThS4 structure from Alexandria via LeMat-Bulk. Energies are from PBE.

Properties
ΔE_f (raw), kJ/mol of formula units: -1319
M_tot, μB/f.u.: 0.00
Space-group type: I2_12_12_1 (24)
Total energy, eV/atom: -6.7286

CIF file:
```
data_Pm2ThS4
_chemical_formula_sum 'Pm4 Th2 S8'
_cell_length_a 7.426
_cell_length_b 7.424
_cell_length_c 7.424
_cell_angle_alpha 112.32
_cell_angle_beta 107.75
_cell_angle_gamma 108.37
_symmetry_space_group_name_H-M 'P 1'
_symmetry_Int_Tables_number 1
loop_
_symmetry_equiv_pos_as_xyz
'x,y,z'
loop_
_atom_site_label
_atom_site_fract_x
_atom_site_fract_y
_atom_site_fract_z
_atom_site_occupancy
Pm1 0.625 0.490 0.365 1
S1 0.381 0.128 0.894 1
Pm2 0.711 0.375 0.836 1
S2 0.733 0.980 0.617 1
S3 0.234 0.487 0.106 1
S4 0.363 0.116 0.384 1
Th1 0.025 0.025 0.000 1
S5 0.517 0.634 0.747 1
Pm3 0.125 0.260 0.635 1
S6 0.869 0.264 0.247 1
S7 0.887 0.770 0.253 1
S8 0.016 0.622 0.753 1
Th2 0.225 0.725 0.500 1
Pm4 0.539 0.875 0.164 1
```

---

Here is a geometry-optimized Mg3ZnO structure from Alexandria via LeMat-Bulk. Energies are from PBE.

Properties
ΔE_f (raw), kJ/mol of formula units: 189
Relative energy among the computed polymorphs, kJ/mol of atoms: 126.4
M_tot, μB/f.u.: 0.00
Space-group type: Pm-3m (221)
Total energy, eV/atom: -1.8107

CIF file:
```
data_Mg3ZnO
_chemical_formula_sum 'Mg3 Zn1 O1'
_cell_length_a 4.890
_cell_length_b 4.890
_cell_length_c 4.890
_cell_angle_alpha 90.00
_cell_angle_beta 90.00
_cell_angle_gamma 90.00
_symmetry_space_group_name_H-M 'P 1'
_symmetry_Int_Tables_number 1
loop_
_symmetry_equiv_pos_as_xyz
'x,y,z'
loop_
_atom_site_label
_atom_site_fract_x
_atom_site_fract_y
_atom_site_fract_z
_atom_site_occupancy
O1 0.500 0.500 0.500 1
Mg1 0.500 0.000 0.000 1
Zn1 0.000 0.000 0.000 1
Mg2 0.000 0.500 0.000 1
Mg3 0.000 0.000 0.500 1
```

---

Here is a geometry-optimized RbBa2TlH structure from Alexandria via LeMat-Bulk. Energies are from PBE.

Properties
M_tot, μB/f.u.: 0.00
Space-group type: P4/mmm (123)
Total energy, eV/atom: -2.2717

CIF file:
```
data_RbBa2TlH
_chemical_formula_sum 'Rb1 Ba2 Tl1 H1'
_cell_length_a 5.794
_cell_length_b 5.794
_cell_length_c 5.496
_cell_angle_alpha 90.00
_cell_angle_beta 90.00
_cell_angle_gamma 90.00
_symmetry_space_group_name_H-M 'P 1'
_symmetry_Int_Tables_number 1
loop_
_symmetry_equiv_pos_as_xyz
'x,y,z'
loop_
_atom_site_label
_atom_site_fract_x
_atom_site_fract_y
_atom_site_fract_z
_atom_site_occupancy
Tl1 0.500 0.500 0.500 1
Rb1 0.000 0.000 0.500 1
Ba1 0.000 0.500 0.000 1
Ba2 0.500 0.000 0.000 1
H1 0.000 0.000 0.000 1
```

---

Here is a geometry-optimized TiNbOs structure from Alexandria via LeMat-Bulk. Energies are from PBE.

Properties
Relative energy among the computed polymorphs, kJ/mol of atoms: 6.0
M_tot, μB/f.u.: 0.00
Space-group type: I4mm (107)
Formation energy from the elements, eV/atom: -0.41
Total energy, eV/atom: -10.1385

CIF file:
```
data_TiNbOs
_chemical_formula_sum 'Ti1 Nb1 Os1'
_cell_length_a 3.135
_cell_length_b 3.135
_cell_length_c 5.387
_cell_angle_alpha 106.92
_cell_angle_beta 106.92
_cell_angle_gamma 90.00
_symmetry_space_group_name_H-M 'P 1'
_symmetry_Int_Tables_number 1
loop_
_symmetry_equiv_pos_as_xyz
'x,y,z'
loop_
_atom_site_label
_atom_site_fract_x
_atom_site_fract_y
_atom_site_fract_z
_atom_site_occupancy
Nb1 0.005 0.005 0.010 1
Ti1 0.326 0.326 0.653 1
Os1 0.669 0.669 0.338 1
```